Computed, not measured: a relaxed structure of Ac2DyMnS5 at the PBE-GGA level of DFT.

Summary:
* DOS at the Fermi energy: 3.33 states/eV/f.u.
* total magnetic moment: 0.480 μB per atom
* calculated volume: 23.822 A^3/atom
* uncorrected formation energy: -1813.1 meV per atom

```
Ac2DyMnS5
1.0
2.042 -8.494 0.000
2.042 8.494 0.000
0.000 0.000 12.358
Ac Dy Mn S
4 2 2 10
Direct
0.120 0.880 0.500
0.126 0.874 0.143
0.874 0.126 0.643
0.880 0.120 0.000
0.186 0.814 0.827
0.814 0.186 0.327
0.448 0.552 0.242
0.552 0.448 0.742
0.025 0.975 0.833
0.301 0.699 0.481
0.312 0.688 0.174
0.347 0.653 0.821
0.496 0.504 0.570
0.504 0.496 0.070
0.653 0.347 0.321
0.688 0.312 0.674
0.699 0.301 0.981
0.975 0.025 0.333
```

=====

Computed, not measured: a relaxed structure of HoEr3 at the PBE-GGA level of DFT.

Summary:
* DOS at the Fermi energy: 10.50 states/eV/f.u.
* total magnetic moment: 0.008 μB per atom
* energy of formation: 0.57 eV/f.u.
* calculated volume: 30.962 A^3/atom
* polymorph energy (0 for the lowest one): 3.346 kcal/mol of atoms

```
HoEr3
1.0
7.913 0.000 0.000
0.000 7.913 0.000
0.000 0.000 7.913
Ho Er
4 12
Direct
0.000 0.000 0.000
0.000 0.500 0.500
0.500 0.000 0.500
0.500 0.500 0.000
0.000 0.000 0.500
0.000 0.500 0.000
0.250 0.250 0.250
0.250 0.250 0.750
0.250 0.750 0.250
0.250 0.750 0.750
0.500 0.000 0.000
0.500 0.500 0.500
0.750 0.250 0.250
0.750 0.250 0.750
0.750 0.750 0.250
0.750 0.750 0.750
```

=====

Computed, not measured: a relaxed structure of OsRh2Br at the PBE-GGA level of DFT.

Summary:
* DOS at the Fermi energy: 5.29 states/eV/f.u.
* total magnetic moment: 0.000 μB per atom
* calculated volume: 16.010 A^3/atom
* polymorph energy (0 for the lowest one): 0.000 kcal/mol of atoms
* uncorrected formation energy: 470.3 meV per atom

```
OsRh2Br
1.0
2.840 0.000 0.000
0.000 2.840 0.000
0.000 0.000 7.939
Os Rh Br
1 2 1
Direct
0.000 0.000 0.000
0.500 0.500 0.224
0.500 0.500 0.776
0.000 0.000 0.500
```

=====

Computed, not measured: a relaxed structure of Sc2ZnGa3Ni4 at the PBE-GGA level of DFT.

Summary:
* DOS at the Fermi energy: 6.49 states/eV/f.u.
* total magnetic moment: 0.000 μB per atom
* energy of formation: -4.63 eV/f.u.
* calculated volume: 15.137 A^3/atom

```
Sc2ZnGa3Ni4
1.0
3.700 0.000 0.000
0.000 3.700 0.000
0.000 0.000 11.060
Sc Zn Ga Ni
2 1 3 4
Direct
0.000 0.500 0.238
0.500 0.000 0.762
0.500 0.500 0.000
0.000 0.000 0.000
0.000 0.500 0.636
0.500 0.000 0.364
0.000 0.000 0.500
0.000 0.500 0.849
0.500 0.000 0.151
0.500 0.500 0.500
```

=====

Computed, not measured: a relaxed structure of Na3DyTh3Te8 at the PBE-GGA level of DFT.

Summary:
* DOS at the Fermi energy: 8.17 states/eV/f.u.
* total magnetic moment: 0.000 μB per atom
* calculated volume: 34.962 A^3/atom
* uncorrected formation energy: -1167.5 meV per atom

```
Na3DyTh3Te8
1.0
4.413 2.548 7.774
-4.413 2.548 7.774
0.000 -5.096 7.774
Na Dy Th Te
3 1 3 8
Direct
0.000 0.500 0.500
0.500 0.000 0.500
0.500 0.500 0.000
0.500 0.500 0.500
0.000 0.000 0.500
0.000 0.500 0.000
0.500 0.000 0.000
0.249 0.249 0.249
0.249 0.744 0.744
0.256 0.256 0.751
0.256 0.751 0.256
0.744 0.249 0.744
0.744 0.744 0.249
0.751 0.256 0.256
0.751 0.751 0.751
```

=====

Computed, not measured: a relaxed structure of TbPr2Hf at the PBE-GGA level of DFT.

Summary:
* DOS at the Fermi energy: 4.70 states/eV/f.u.
* total magnetic moment: 0.000 μB per atom
* energy of formation: 0.75 eV/f.u.
* calculated volume: 30.584 A^3/atom
* polymorph energy (0 for the lowest one): 0.000 kcal/mol of atoms

```
TbPr2Hf
1.0
5.001 0.000 0.000
0.000 5.001 0.000
0.000 0.000 4.892
Tb Pr Hf
1 2 1
Direct
0.000 0.000 0.000
0.000 0.500 0.500
0.500 0.000 0.500
0.500 0.500 0.000
```

=====

Computed, not measured: a relaxed structure of ZrNi2Pb at the PBE-GGA level of DFT.

Summary:
* DOS at the Fermi energy: 3.09 states/eV/f.u.
* total magnetic moment: 0.000 μB per atom
* energy of formation: -0.14 eV/f.u.
* calculated volume: 17.664 A^3/atom

```
ZrNi2Pb
1.0
8.894 0.000 0.000
0.000 3.431 0.000
-1.193 0.000 4.631
Zr Ni Pb
2 4 2
Direct
0.000 0.000 0.000
0.500 0.500 0.000
0.239 0.500 0.171
0.479 0.000 0.407
0.739 0.000 0.171
0.979 0.500 0.407
0.227 0.000 0.628
0.727 0.500 0.628
```

=====

Computed, not measured: a relaxed structure of ReHPd at the PBE-GGA level of DFT.

Summary:
* DOS at the Fermi energy: 0.74 states/eV/f.u.
* total magnetic moment: 0.000 μB per atom
* calculated volume: 11.013 A^3/atom
* polymorph energy (0 for the lowest one): 2.631 kcal/mol of atoms

```
ReHPd
1.0
5.212 0.000 0.000
0.000 4.401 0.000
0.000 0.000 5.761
Re H Pd
4 4 4
Direct
0.067 0.250 0.122
0.433 0.750 0.622
0.567 0.250 0.378
0.933 0.750 0.878
0.238 0.750 0.367
0.262 0.250 0.867
0.738 0.750 0.133
0.762 0.250 0.633
0.105 0.250 0.599
0.395 0.750 0.099
0.605 0.250 0.901
0.895 0.750 0.401
```

=====

Computed, not measured: a relaxed structure of CrSb2TeMo at the PBE-GGA level of DFT.

Summary:
* DOS at the Fermi energy: 3.89 states/eV/f.u.
* total magnetic moment: 1.188 μB per atom
* calculated volume: 26.586 A^3/atom
* polymorph energy (0 for the lowest one): 3.633 kcal/mol of atoms
* uncorrected formation energy: 990.4 meV per atom

```
CrSb2TeMo
1.0
5.013 0.000 0.000
0.000 5.013 0.000
0.000 0.000 5.289
Cr Sb Te Mo
1 2 1 1
Direct
0.000 0.000 0.000
0.000 0.500 0.000
0.500 0.000 0.000
0.000 0.000 0.500
0.500 0.500 0.500
```

=====

Computed, not measured: a relaxed structure of Cd4Ge at the PBE-GGA level of DFT.

Summary:
* DOS at the Fermi energy: 3.10 states/eV/f.u.
* total magnetic moment: 0.000 μB per atom
* energy of formation: 1.56 eV/f.u.
* calculated volume: 29.379 A^3/atom

```
Cd4Ge
1.0
5.276 0.000 0.000
0.000 5.276 0.000
0.000 0.000 5.276
Cd Ge
4 1
Direct
0.000 0.000 0.000
0.000 0.500 0.500
0.500 0.000 0.500
0.500 0.500 0.000
0.500 0.500 0.500
```

=====

Computed, not measured: a relaxed structure of NaCaPmBi at the PBE-GGA level of DFT.

Summary:
* DOS at the Fermi energy: 4.38 states/eV/f.u.
* total magnetic moment: 0.089 μB per atom
* energy of formation: -1.12 eV/f.u.
* calculated volume: 30.799 A^3/atom

```
NaCaPmBi
1.0
7.899 0.000 0.000
0.000 7.899 0.000
0.000 0.000 7.899
Na Ca Pm Bi
4 4 4 4
Direct
0.000 0.000 0.000
0.000 0.500 0.500
0.500 0.000 0.500
0.500 0.500 0.000
0.250 0.250 0.750
0.250 0.750 0.250
0.750 0.250 0.250
0.750 0.750 0.750
0.250 0.250 0.250
0.250 0.750 0.750
0.750 0.250 0.750
0.750 0.750 0.250
0.000 0.000 0.500
0.000 0.500 0.000
0.500 0.000 0.000
0.500 0.500 0.500
```

=====

Computed, not measured: a relaxed structure of NaCa5Cd6 at the PBE-GGA level of DFT.

Summary:
* DOS at the Fermi energy: 8.66 states/eV/f.u.
* total magnetic moment: 0.000 μB per atom
* energy of formation: -3.53 eV/f.u.
* calculated volume: 28.062 A^3/atom

```
NaCa5Cd6
1.0
8.611 -3.764 0.000
8.611 3.764 0.000
-1.650 0.000 5.194
Na Ca Cd
1 5 6
Direct
0.000 0.000 0.000
0.168 0.168 0.669
0.333 0.333 0.333
0.500 0.500 0.000
0.667 0.667 0.667
0.832 0.832 0.331
0.083 0.586 0.835
0.247 0.753 0.500
0.414 0.917 0.165
0.586 0.083 0.835
0.753 0.247 0.500
0.917 0.414 0.165
```